The following is a PBEsol calculation of an optimized crystal structure of CaNiAsO5, from Alexandria.

Cell: 5.789 7.476 8.663 Å, 90.00 90.00 90.00°
Fractional positions:
Ni 0.256 0.755 0.996
Ni 0.744 0.255 0.504
Ni 0.756 0.745 0.004
Ni 0.244 0.245 0.496
O 0.012 0.587 0.089
O 0.500 0.629 0.073
O 0.512 0.913 0.911
O 0.261 0.909 0.181
O 0.739 0.409 0.319
O 0.988 0.087 0.411
O 0.253 0.627 0.796
O 0.921 0.230 0.079
O 0.747 0.127 0.704
O 0.000 0.371 0.573
O 0.753 0.873 0.204
O 0.579 0.770 0.579
O 0.239 0.091 0.681
O 0.000 0.871 0.927
O 0.761 0.591 0.819
O 0.421 0.270 0.921
O 0.500 0.129 0.427
O 0.488 0.413 0.589
O 0.247 0.373 0.296
O 0.079 0.730 0.421
As 0.017 0.898 0.296
As 0.517 0.602 0.704
As 0.483 0.102 0.796
As 0.983 0.398 0.204
Ca 0.469 0.656 0.335
Ca 0.969 0.844 0.665
Ca 0.531 0.156 0.165
Ca 0.031 0.344 0.835

Summary:
Total moment, μB per cell: 4.05
E_form (uncorrected), eV/atom: -1.60
Space-group type: P2_12_12_1 (19)
Electronic total energy, eV/atom: -6.558